Nb2VAs4 after structural relaxation. Source: Alexandria, functional PBE.

Output
Energy relative to the elements (meV per atom): -225
Total moment (Bohr magnetons per cell): 0.000
ρ (g/cm³): 7.18
DOS at the Fermi energy (states/eV per cell): 10.5

Cell: 6.7536 5.0415 7.5674 Å, 90.00 105.55 90.00°
With the nearest neighbours (Å) after each atom.
Space group P2_1/m (No. 11)
Asymmetric unit:
Nb 0.2063 0.2500 0.0365 x2  8 As 2.69-2.93
Nb 0.2809 0.2500 0.5977 x2  1 V 2.61, 8 As 2.68-2.91
V 0.3182 0.7500 0.3186 x2  4 As 2.38-2.47, 1 Nb 2.61
As 0.9997 0.0124 0.2774 x4  2 As 2.40-2.65, 1 V 2.47, 1 Nb 2.68
As 0.4304 0.7500 0.0464 x2  1 V 2.38
As 0.4841 0.7500 0.6508 x2  1 V 2.46, 1 Nb 2.71